Crystalline Li12W7O28 at its relaxed geometry. Source: Alexandria, functional GGA+U.

Results
E: -6.5149 eV/atom

Cell: 8.5162 8.5162 8.5162 Å, 90.00 90.00 90.00°
Each line ends with the local moment (μB).
Fractional coordinates of all 47 atoms:
W (0.5000, 0.0000, 0.5000)  -0.03
W (0.8588, 0.8588, 0.8588)  -0.05
W (0.8588, 0.1412, 0.1412)  -0.05
W (0.5000, 0.5000, 0.0000)  -0.03
W (0.1412, 0.8588, 0.1412)  -0.05
W (0.0000, 0.5000, 0.5000)  -0.03
W (0.1412, 0.1412, 0.8588)  -0.05
O (0.1153, 0.1153, 0.6470)  0.08
O (0.8847, 0.3530, 0.1153)  0.08
O (0.1215, 0.3762, 0.3762)  0.05
O (0.3762, 0.1215, 0.3762)  0.05
O (0.8916, 0.8916, 0.1084)  0.03
O (0.8847, 0.8847, 0.6470)  0.08
O (0.8916, 0.1084, 0.8916)  0.03
O (0.6470, 0.8847, 0.8847)  0.08
O (0.1215, 0.6238, 0.6238)  0.05
O (0.3762, 0.6238, 0.8785)  0.05
O (0.8847, 0.1153, 0.3530)  0.08
O (0.1153, 0.6470, 0.1153)  0.08
O (0.1084, 0.1084, 0.1084)  0.03
O (0.6238, 0.1215, 0.6238)  0.05
O (0.1084, 0.8916, 0.8916)  0.03
O (0.8785, 0.6238, 0.3762)  0.05
O (0.1153, 0.3530, 0.8847)  0.08
O (0.6238, 0.6238, 0.1215)  0.05
O (0.3762, 0.3762, 0.1215)  0.05
O (0.6470, 0.1153, 0.1153)  0.08
O (0.1153, 0.8847, 0.3530)  0.08
O (0.8785, 0.3762, 0.6238)  0.05
O (0.3530, 0.8847, 0.1153)  0.08
O (0.3530, 0.1153, 0.8847)  0.08
O (0.3762, 0.8785, 0.6238)  0.05
O (0.6238, 0.8785, 0.3762)  0.05
O (0.8847, 0.6470, 0.8847)  0.08
O (0.6238, 0.3762, 0.8785)  0.05
Li (0.4092, 0.8538, 0.8538)  0.00
Li (0.8538, 0.5908, 0.1462)  0.00
Li (0.1462, 0.8538, 0.5908)  0.00
Li (0.1462, 0.1462, 0.4092)  0.00
Li (0.5908, 0.8538, 0.1462)  0.00
Li (0.1462, 0.4092, 0.1462)  0.00
Li (0.8538, 0.1462, 0.5908)  0.00
Li (0.8538, 0.8538, 0.4092)  0.00
Li (0.8538, 0.4092, 0.8538)  0.00
Li (0.1462, 0.5908, 0.8538)  0.00
Li (0.4092, 0.1462, 0.1462)  0.00
Li (0.5908, 0.1462, 0.8538)  0.00